[1]
Computed, not measured: a relaxed Hf3PSe crystal at the GGA-PBE level of DFT.

Summary:
- ΔE_f (raw) (eV/atom) = -0.788
- crystal system = monoclinic

```
data_Hf3PSe
_chemical_formula_sum 'Hf24 P8 Se8'
_space_group_name_H-M_alt 'C 1 2/c 1'
_space_group_IT_number 15
_cell_length_a 12.5202
_cell_length_b 10.9315
_cell_length_c 6.2455
_cell_angle_alpha 90.00
_cell_angle_beta 102.03
_cell_angle_gamma 90.00
loop_
_space_group_symop_operation_xyz
'x,y,z'
'-x,-y,-z'
'-x,y,-z+1/2'
'x,-y,z+1/2'
'x+1/2,y+1/2,z'
'-x+1/2,-y+1/2,-z'
'-x+1/2,y+1/2,-z+1/2'
'x+1/2,-y+1/2,z+1/2'
loop_
_atom_site_label
_atom_site_fract_x
_atom_site_fract_y
_atom_site_fract_z
Hf1 0.0979 0.0705 0.4485
Hf2 0.1081 0.2435 0.9582
Hf3 0.1167 0.4123 0.4602
P1 0.0000 0.2497 0.2500
P2 0.0000 0.4198 0.7500
Se1 0.2457 0.0866 0.8310
```

***

[2]
Computed, not measured: a relaxed LaThSe2O crystal at the GGA-PBE level of DFT.

Summary:
- ΔE_f (raw) (eV/atom) = -2.368
- crystal system = tetragonal

```
data_LaThSe2O
_chemical_formula_sum 'La2 Th2 Se4 O2'
_space_group_name_H-M_alt 'P 4/n m m'
_space_group_IT_number 129
_cell_length_a 4.1703
_cell_length_b 4.1703
_cell_length_c 14.4045
_cell_angle_alpha 90.00
_cell_angle_beta 90.00
_cell_angle_gamma 90.00
loop_
_space_group_symop_operation_xyz
'x,y,z'
'-x,-y,-z'
'-y+1/2,x,z'
'y+1/2,-x,-z'
'-x+1/2,-y+1/2,z'
'x+1/2,y+1/2,-z'
'y,-x+1/2,z'
'-y,x+1/2,-z'
'x+1/2,-y,-z'
'-x+1/2,y,z'
'-y,-x,-z'
'y,x,z'
'-x,y+1/2,-z'
'x,-y+1/2,z'
'y+1/2,x+1/2,-z'
'-y+1/2,-x+1/2,z'
loop_
_atom_site_label
_atom_site_fract_x
_atom_site_fract_y
_atom_site_fract_z
La1 0.2500 0.2500 0.0828
Th1 0.2500 0.2500 0.6103
Se1 0.2500 0.2500 0.3905
Se2 0.2500 0.2500 0.8022
O1 0.2500 0.7500 0.0000
```

***

[3]
Computed, not measured: a relaxed LaSc2Cu crystal at the GGA-PBE level of DFT.

Summary:
- energy of formation (eV/atom) = 0.21
- crystal system = monoclinic

```
data_LaSc2Cu
_chemical_formula_sum 'La2 Sc4 Cu2'
_space_group_name_H-M_alt 'C 1 2/m 1'
_space_group_IT_number 12
_cell_length_a 6.1584
_cell_length_b 10.9136
_cell_length_c 3.3097
_cell_angle_alpha 90.00
_cell_angle_beta 119.32
_cell_angle_gamma 90.00
loop_
_space_group_symop_operation_xyz
'x,y,z'
'-x,-y,-z'
'-x,y,-z'
'x,-y,z'
'x+1/2,y+1/2,z'
'-x+1/2,-y+1/2,-z'
'-x+1/2,y+1/2,-z'
'x+1/2,-y+1/2,z'
loop_
_atom_site_label
_atom_site_fract_x
_atom_site_fract_y
_atom_site_fract_z
La1 0.0000 0.0000 0.0000
Sc1 0.2500 0.2500 0.5000
Cu1 0.0000 0.5000 0.0000
```

***

no.,magnetization (μB/f.u.)
1,0.00
2,0.00
3,0.00